First-principles (PBE) data for an optimized crystal structure of Dy4HoN4, as listed in the Alexandria database.

```
Dy4HoN4
1.0
-0.528 4.497 -1.924
-5.096 2.795 1.642
2.330 4.417 3.394
Dy N Ho
4 4 1
direct
0.812 0.797 0.579
0.391 0.421 0.797
0.188 0.203 0.421
0.609 0.579 0.203
0.297 0.801 0.605
0.098 0.605 0.199
0.703 0.199 0.395
0.902 0.395 0.801
0.000 0.000 0.000
```

Computed properties:
Calculated density in Mg/m³: 9.664
E_form (uncorrected) in eV/atom: -1.51
Space group: I4/m

First-principles (PBE) data for an optimized crystal structure of Zr5Pb3N, as listed in the Alexandria database.

```
Zr5Pb3N
1.0
5.869 0.000 0.000
0.000 7.468 -4.312
0.000 0.000 8.623
Pb Zr N
6 10 2
direct
0.250 0.404 0.404
0.750 0.596 0.596
0.250 0.000 0.596
0.750 0.000 0.404
0.250 0.596 0.000
0.750 0.404 0.000
0.750 0.216 0.216
0.500 0.333 0.667
0.750 0.000 0.784
0.750 0.784 0.000
0.000 0.333 0.667
0.250 0.216 0.000
0.250 0.000 0.216
0.250 0.784 0.784
0.500 0.667 0.333
0.000 0.667 0.333
0.500 0.000 0.000
0.000 0.000 0.000
```

Computed properties:
Calculated density in Mg/m³: 9.593
E_form (uncorrected) in eV/atom: -0.58
Space group: P6_3/mcm

First-principles (PBE) data for an optimized crystal structure of MgAl3Ir, as listed in the Alexandria database.

```
MgAl3Ir
1.0
4.774 0.000 0.000
0.000 7.587 0.000
0.000 0.000 9.405
Al Mg Ir
12 4 4
direct
0.692 0.919 0.250
0.192 0.581 0.750
0.973 0.167 0.963
0.473 0.333 0.463
0.527 0.667 0.963
0.973 0.167 0.537
0.808 0.419 0.250
0.027 0.833 0.037
0.027 0.833 0.463
0.308 0.081 0.750
0.473 0.333 0.037
0.527 0.667 0.537
0.277 0.608 0.250
0.723 0.392 0.750
0.777 0.892 0.750
0.223 0.108 0.250
0.500 0.000 0.000
0.500 0.000 0.500
0.000 0.500 0.000
0.000 0.500 0.500
```

Computed properties:
Calculated density in Mg/m³: 5.801
Space group: Pnma
Formation energy in meV per atom: -360.1
Excess energy over the best structure of this formula in the dataset in eV per formula unit: 0.445

First-principles (PBE) data for an optimized crystal structure of Si5Bi3Au12, as listed in the Alexandria database.

```
Si5Bi3Au12
1.0
-10.748 -6.258 -5.045
4.293 -6.560 10.894
-3.306 12.567 3.358
Au Si Bi
48 20 12
direct
0.407 0.294 0.326
0.093 0.919 0.387
0.919 0.826 0.532
0.407 0.113 0.581
0.674 0.206 0.593
0.706 0.593 0.174
0.326 0.532 0.419
0.968 0.387 0.294
0.174 0.081 0.968
0.968 0.581 0.174
0.826 0.907 0.294
0.387 0.419 0.093
0.468 0.794 0.887
0.826 0.919 0.032
0.294 0.887 0.968
0.613 0.581 0.907
0.093 0.174 0.206
0.206 0.674 0.093
0.532 0.206 0.113
0.032 0.613 0.706
0.081 0.174 0.468
0.674 0.468 0.581
0.581 0.613 0.407
0.706 0.113 0.032
0.294 0.407 0.826
0.032 0.419 0.826
0.206 0.532 0.613
0.887 0.294 0.468
0.113 0.706 0.532
0.581 0.968 0.674
0.593 0.706 0.674
0.326 0.794 0.407
0.532 0.326 0.919
0.174 0.093 0.706
0.113 0.407 0.081
0.081 0.907 0.113
0.907 0.081 0.613
0.419 0.387 0.593
0.919 0.093 0.887
0.794 0.326 0.907
0.468 0.674 0.081
0.387 0.968 0.794
0.419 0.032 0.326
0.593 0.887 0.419
0.794 0.468 0.387
0.907 0.826 0.794
0.613 0.032 0.206
0.887 0.593 0.919
0.875 0.250 0.625
0.375 0.125 0.750
0.000 0.000 0.500
0.875 0.625 0.750
0.750 0.625 0.375
0.250 0.375 0.625
0.375 0.250 0.125
0.500 0.000 0.000
0.125 0.375 0.250
0.500 0.500 0.500
0.000 0.000 0.000
0.000 0.500 0.500
0.500 0.500 0.000
0.500 0.000 0.500
0.750 0.125 0.875
0.000 0.500 0.000
0.625 0.875 0.250
0.125 0.750 0.375
0.250 0.875 0.125
0.625 0.750 0.875
0.875 0.750 0.125
0.375 0.750 0.625
0.625 0.250 0.375
0.750 0.375 0.125
0.125 0.250 0.875
0.875 0.125 0.250
0.625 0.375 0.750
0.250 0.125 0.375
0.250 0.625 0.875
0.375 0.625 0.250
0.125 0.875 0.750
0.750 0.875 0.625
```

Computed properties:
Calculated density in Mg/m³: 11.174
E_form (uncorrected) in eV/atom: 0.13
Space group: Ia-3d

First-principles (PBE) data for an optimized crystal structure of NdPuNi10, as listed in the Alexandria database.

```
NdPuNi10
1.0
3.961 0.000 0.000
0.000 4.919 0.000
0.000 0.000 8.536
Ni Pu Nd
10 1 1
direct
0.000 0.500 0.173
0.000 0.000 0.338
0.500 0.747 0.254
0.500 0.253 0.746
0.500 0.253 0.254
0.000 0.000 0.662
0.500 0.000 0.500
0.000 0.500 0.827
0.500 0.500 0.000
0.500 0.747 0.746
0.000 0.500 0.500
0.000 0.000 0.000
```

Computed properties:
Calculated density in Mg/m³: 9.735
Space group: Pmmm
Formation energy in meV per atom: -231.9

First-principles (PBE) data for an optimized crystal structure of LaTbGaPt, as listed in the Alexandria database.

```
LaTbGaPt
1.0
-1.437 1.391 3.423
-1.980 -3.899 0.753
5.358 -2.531 0.982
Ga Pt La Tb
1 1 1 1
direct
0.568 0.500 0.136
0.421 0.000 0.843
0.147 0.000 0.294
0.864 0.500 0.727
```

Computed properties:
Calculated density in Mg/m³: 9.366
Space group: Amm2
Formation energy in meV per atom: -872.1
Excess energy over the best structure of this formula in the dataset in eV per formula unit: 0.000

First-principles (PBE) data for an optimized crystal structure of BaPmCuPt, as listed in the Alexandria database.

```
BaPmCuPt
1.0
5.263 0.000 0.000
2.631 4.558 0.000
2.631 1.519 4.297
Pt Ba Cu Pm
1 1 1 1
direct
0.750 0.750 0.750
0.500 0.500 0.500
0.250 0.250 0.250
0.000 0.000 0.000
```

Computed properties:
Calculated density in Mg/m³: 8.715
Space group: F-43m
Formation energy in meV per atom: -339.1

First-principles (PBE) data for an optimized crystal structure of Pu6SbRu5, as listed in the Alexandria database.

```
Pu6SbRu5
1.0
4.983 0.237 -0.411
0.240 6.476 -0.240
-0.065 -0.262 7.373
Pu Ru Sb
6 5 1
direct
0.778 0.267 0.671
0.758 0.761 0.653
0.242 0.239 0.347
0.467 0.272 0.011
0.533 0.728 0.989
0.222 0.733 0.329
0.262 0.499 0.651
0.255 0.999 0.649
0.745 0.001 0.351
0.000 0.500 0.000
0.738 0.501 0.349
0.000 0.000 0.000
```

Computed properties:
Calculated density in Mg/m³: 14.649
E_form (uncorrected) in eV/atom: -0.10
Space group: P-1

First-principles (PBE) data for an optimized crystal structure of Dy2NiBi, as listed in the Alexandria database.

```
Dy2NiBi
1.0
-1.337 -3.425 1.086
2.115 -2.251 2.271
-3.677 2.043 8.684
Dy Ni Bi
2 1 1
direct
0.113 0.113 0.660
0.887 0.887 0.340
0.500 0.500 0.500
0.000 0.000 0.000
```

Computed properties:
Calculated density in Mg/m³: 8.235
Space group: R-3m
Formation energy in meV per atom: -170.9
Excess energy over the best structure of this formula in the dataset in eV per formula unit: 1.589

First-principles (PBE) data for an optimized crystal structure of Th2GaCu4Si3, as listed in the Alexandria database.

```
Th2GaCu4Si3
1.0
-1.152 3.316 -2.196
-3.755 -1.661 -0.538
-3.146 4.418 8.322
Th Cu Si Ga
2 4 3 1
direct
0.500 0.000 0.244
0.000 0.500 0.756
0.500 0.000 0.634
0.000 0.000 0.000
0.000 0.500 0.366
0.500 0.500 0.000
0.000 0.500 0.128
0.000 0.000 0.500
0.500 0.000 0.872
0.500 0.500 0.500
```

Computed properties:
Calculated density in Mg/m³: 8.504
E_form (uncorrected) in eV/atom: -0.55
Space group: P-4m2

First-principles (PBE) data for an optimized crystal structure of CeDyPa4, as listed in the Alexandria database.

```
CeDyPa4
1.0
-0.887 5.226 -3.030
-3.579 0.092 -4.946
-5.437 2.770 0.217
Ce Dy Pa
1 1 4
direct
0.250 0.250 0.250
0.000 0.000 0.000
0.124 0.625 0.625
0.625 0.625 0.124
0.625 0.625 0.625
0.625 0.124 0.625
```

Computed properties:
Calculated density in Mg/m³: 12.657
Space group: F-43m
Formation energy in meV per atom: 203.5

First-principles (PBE) data for an optimized crystal structure of TiVMo2, as listed in the Alexandria database.

```
TiVMo2
1.0
-4.681 -0.992 -5.039
0.448 -6.871 0.936
-4.093 -3.813 -0.239
Mo V Ti
4 2 2
direct
0.875 0.892 0.750
0.642 0.125 0.250
0.108 0.625 0.250
0.375 0.358 0.750
0.750 0.250 0.500
0.000 0.000 0.000
0.500 0.500 0.000
0.250 0.750 0.500
```

Computed properties:
Calculated density in Mg/m³: 7.446
Space group: I-42d
Formation energy in meV per atom: 503.1
Excess energy over the best structure of this formula in the dataset in eV per formula unit: 2.367